No. 1
Here is a relaxed MoPtCl2 crystal from Alexandria via LeMat-Bulk. Energies are from PBE-GGA.

Cell lengths 3.1243, 3.1315, 8.5312 Å; angles 90.00, 100.44, 90.00 degrees
Positions (direct):
1 Mo 0.0000 0.0000 0.0000
2 Pt 0.5873 0.5000 0.1765
3 Cl 0.1873 0.0000 0.3803
4 Cl 0.8923 0.5000 0.7825

ΔE_f (raw) = -234 meV per atom
Offset from the most stable computed form = 0.000 eV/atom
Space-group type = Pm (6)

=====

No. 2
Here is a relaxed NbCoReI crystal from Alexandria via LeMat-Bulk. Energies are from PBE-GGA.

Cell lengths 3.9623, 3.9623, 6.4886 Å; angles 90.06, 90.06, 59.97 degrees
Positions (direct):
1 Nb 0.0000 0.0000 0.0000
2 Co 0.6666 0.6666 0.8204
3 Re 0.3332 0.3332 0.7477
4 I 0.3335 0.3335 0.3234

ΔE_f (raw) = 485 meV per atom
Offset from the most stable computed form = 0.008 eV/atom
Space-group type = Cm (8)

=====

No. 3
Here is a relaxed NdNpN3 crystal from Alexandria via LeMat-Bulk. Energies are from PBE-GGA.

Cell lengths 4.2170, 4.2170, 4.2170 Å; angles 90.00, 90.00, 90.00 degrees
Positions (direct):
1 Nd 0.0000 0.0000 0.0000
2 Np 0.5000 0.5000 0.5000
3 N 0.0000 0.5000 0.5000
4 N 0.5000 0.0000 0.5000
5 N 0.5000 0.5000 0.0000

ΔE_f (raw) = -1048 meV per atom
Space-group type = Pm-3m (221)

=====

no.,calculated density (Mg/m³)
1,7.32
2,8.75
3,9.37